Density functional theory data (PBE) for an optimized crystal structure of La3PmCl.

The space group is Pm-3m (No. 221) and the conventional cell measures 5.591, 5.591 and 5.591 Å, with angles of 90.00, 90.00 and 90.00 degrees. The distinct sites, in fractional coordinates, are La at (0.000, 0.000, 0.500), Pm at (0.500, 0.500, 0.500) and Cl at (0.000, 0.000, 0.000).

The electronic total energy is -4.83 eV/atom. Its crystal system is cubic. The uncorrected formation energy comes out at -556 meV per atom.


Density functional theory data (PBE) for an optimized crystal structure of ZnCr3Br.

The space group is Pm-3m (No. 221) and the conventional cell measures 4.899, 4.899 and 4.899 Å, with angles of 90.00, 90.00 and 90.00 degrees. The distinct sites, in fractional coordinates, are Zn at (0.000, 0.000, 0.000), Cr at (0.000, 0.000, 0.500) and Br at (0.500, 0.500, 0.500).

The electronic total energy is -5.23 eV/atom. Its crystal system is cubic. The excess energy over the best structure of this formula in the dataset comes out at 0.0 meV per atom. The uncorrected formation energy comes out at 1132 meV per atom.


Density functional theory data (PBE) for an optimized crystal structure of HfAg3Cl.

The space group is Pm-3m (No. 221) and the conventional cell measures 5.378, 5.378 and 5.378 Å, with angles of 90.00, 90.00 and 90.00 degrees. The distinct sites, in fractional coordinates, are Hf at (0.000, 0.000, 0.000), Ag at (0.000, 0.000, 0.500) and Cl at (0.500, 0.500, 0.500).

The electronic total energy is -2.98 eV/atom. Its crystal system is cubic. The excess energy over the best structure of this formula in the dataset comes out at 89.8 meV per atom. The uncorrected formation energy comes out at 1091 meV per atom.


Density functional theory data (PBE) for an optimized crystal structure of CsSN2O.

The space group is P4/mmm (No. 123) and the conventional cell measures 3.570, 3.570 and 6.500 Å, with angles of 90.00, 90.00 and 90.00 degrees. The distinct sites, in fractional coordinates, are Cs at (0.000, 0.000, 0.000), S at (0.500, 0.500, 0.500), N at (0.000, 0.500, 0.500) and O at (0.500, 0.500, 0.000).

The electronic total energy is -4.14 eV/atom. Its crystal system is tetragonal. The uncorrected formation energy comes out at 1177 meV per atom.


Density functional theory data (PBE) for an optimized crystal structure of SrLi2ReCl.

The space group is P4/mmm (No. 123) and the conventional cell measures 5.020, 5.020 and 4.480 Å, with angles of 90.00, 90.00 and 90.00 degrees. The distinct sites, in fractional coordinates, are Sr at (0.000, 0.000, 0.000), Li at (0.000, 0.500, 0.500), Re at (0.500, 0.500, 0.500) and Cl at (0.500, 0.500, 0.000).

The electronic total energy is -3.56 eV/atom. Its crystal system is tetragonal. The uncorrected formation energy comes out at 397 meV per atom.


Density functional theory data (PBE) for an optimized crystal structure of DyY2Ni.

The space group is P4/mmm (No. 123) and the conventional cell measures 3.450, 3.450 and 8.707 Å, with angles of 90.00, 90.00 and 90.00 degrees. The distinct sites, in fractional coordinates, are Dy at (0.000, 0.000, 0.000), Y at (0.500, 0.500, 0.313) and Ni at (0.000, 0.000, 0.500).

The electronic total energy is -5.97 eV/atom. The calculated formation energy is -146 meV/atom. Its crystal system is tetragonal. The excess energy over the best structure of this formula in the dataset comes out at 95.3 meV per atom.